Below is a relaxed Tl2Ni2IO6 crystal, with properties calculated at the GGA+U level.

abc: 5.424 5.424 6.929
angles: 99.19 99.19 119.68
Site moments in Bohr magnetons follow the coordinates.
Fractional positions:
O 0.386 0.063 0.663  0.17
O 0.063 0.386 0.663  0.17
I 0.000 0.000 0.500  0.10
Tl 0.828 0.172 0.000  0.02
Ni 0.333 0.667 0.500  1.77
Ni 0.667 0.333 0.500  1.77
Tl 0.172 0.828 0.000  0.02
O 0.937 0.614 0.337  0.17
O 0.744 0.744 0.661  0.17
O 0.614 0.937 0.337  0.17
O 0.256 0.256 0.339  0.17

V: 15.3 A^3/atom
raw total energy: -4.386 eV per atom